(1)
# LiEr2BiC PBE-GGA relaxed
# ΔE_f: -0.476 eV/atom
# Space group: P4/mmm, No. 123
# E: -26.52 eV/cell
data_LiEr2BiC
_symmetry_space_group_name_H-M 'P 1'
_symmetry_Int_Tables_number 1
_symmetry_space_group_name_Hall 'P 1'
_cell_length_a 4.852
_cell_length_b 4.852
_cell_length_c 4.442
_cell_angle_alpha 90.00
_cell_angle_beta 90.00
_cell_angle_gamma 90.00
loop_
_atom_site_label
_atom_site_fract_x
_atom_site_fract_y
_atom_site_fract_z
Li1 0.000 0.000 0.000
Er1 0.000 0.500 0.500
Er2 0.500 0.000 0.500
Bi1 0.500 0.500 0.000
C1 0.000 0.000 0.500



(2)
# Sr2TlH2 PBE-GGA relaxed
# Space group: P4/mbm, No. 127
# E: -26.30 eV/cell
data_Sr2TlH2
_symmetry_space_group_name_H-M 'P 1'
_symmetry_Int_Tables_number 1
_symmetry_space_group_name_Hall 'P 1'
_cell_length_a 7.951
_cell_length_b 7.951
_cell_length_c 3.476
_cell_angle_alpha 90.00
_cell_angle_beta 90.00
_cell_angle_gamma 90.00
loop_
_atom_site_label
_atom_site_fract_x
_atom_site_fract_y
_atom_site_fract_z
Sr1 0.166 0.334 0.000
Sr2 0.334 0.834 0.000
Sr3 0.666 0.166 0.000
Sr4 0.834 0.666 0.000
Tl1 0.000 0.000 0.500
Tl2 0.500 0.500 0.500
H1 0.109 0.609 0.500
H2 0.391 0.109 0.500
H3 0.609 0.891 0.500
H4 0.891 0.391 0.500



(3)
# Zr5Rh3 PBE-GGA relaxed
# ΔE_f: -0.594 eV/atom
# Space group: C2/m, No. 12
# E: -139.09 eV/cell
data_Zr5Rh3
_symmetry_space_group_name_H-M 'P 1'
_symmetry_Int_Tables_number 1
_symmetry_space_group_name_Hall 'P 1'
_cell_length_a 8.088
_cell_length_b 8.088
_cell_length_c 7.695
_cell_angle_alpha 95.76
_cell_angle_beta 95.76
_cell_angle_gamma 139.49
loop_
_atom_site_label
_atom_site_fract_x
_atom_site_fract_y
_atom_site_fract_z
Zr1 0.047 0.680 0.797
Zr2 0.203 0.409 0.637
Zr3 0.253 0.253 0.014
Zr4 0.320 0.953 0.203
Zr5 0.409 0.203 0.637
Zr6 0.591 0.797 0.363
Zr7 0.680 0.047 0.797
Zr8 0.747 0.747 0.986
Zr9 0.797 0.591 0.363
Zr10 0.953 0.320 0.203
Rh1 0.140 0.140 0.338
Rh2 0.250 0.750 0.500
Rh3 0.334 0.666 0.000
Rh4 0.666 0.334 0.000
Rh5 0.750 0.250 0.500
Rh6 0.860 0.860 0.662



(4)
# ScCuOs2 PBE-GGA relaxed
# ΔE_f: 0.079 eV/atom
# Space group: C2/m, No. 12
# E: -65.14 eV/cell
data_ScCuOs2
_symmetry_space_group_name_H-M 'P 1'
_symmetry_Int_Tables_number 1
_symmetry_space_group_name_Hall 'P 1'
_cell_length_a 9.132
_cell_length_b 2.868
_cell_length_c 4.725
_cell_angle_alpha 90.00
_cell_angle_beta 102.36
_cell_angle_gamma 90.00
loop_
_atom_site_label
_atom_site_fract_x
_atom_site_fract_y
_atom_site_fract_z
Sc1 0.000 0.000 0.000
Sc2 0.500 0.500 0.000
Cu1 0.000 0.500 0.500
Cu2 0.500 0.000 0.500
Os1 0.239 0.000 0.728
Os2 0.261 0.500 0.272
Os3 0.739 0.500 0.728
Os4 0.761 0.000 0.272